The following is a DFT calculation (PBE) of a relaxed KCd2InHg crystal.

The space group is Imm2 (No. 44) and the conventional cell measures 4.6544, 4.9133 and 13.0727 Å, with angles of 90.00, 90.00 and 90.00 degrees. The asymmetric unit holds K at (0.0000, 0.0000, 0.0000), Cd at (0.0000, 0.0000, 0.6167), Cd at (0.0000, 0.5000, 0.2599), In at (0.0000, 0.5000, 0.7477) and Hg at (0.0000, 0.0000, 0.3972).

Its crystal system is orthorhombic. The total moment comes out at 0.00 μB/f.u. The formation energy is -11.3 kJ per mole of atoms.